RbNi2Ag2 | GGA-PBE | relaxed

Results
E_tot	-3.170	eV per atom
M_tot	0.165	μB per atom
relative energy among the computed polymorphs	0	meV per atom
space-group type	P4/mbm, No. 127

Geometry as POSCAR:
```
RbNi2Ag2
1.0
-7.678 -1.726 2.034
2.216 -0.676 7.791
-0.527 2.805 0.393
Ni Rb Ag
4 2 4
Cartesian
-1.052 -1.288 7.781 Ni
-5.536 -1.954 6.532 Ni
-4.410 -1.114 2.044 Ni
0.073 -0.448 3.294 Ni
0.000 0.000 0.000 Rb
-2.731 -1.201 4.913 Rb
-0.129 0.637 5.843 Ag
-3.650 -0.324 7.979 Ag
-5.860 -0.234 4.375 Ag
-2.339 0.727 2.239 Ag
```



RbNi3Ag | GGA-PBE | relaxed

Results
E_tot	-3.075	eV per atom
M_tot	0.287	μB per atom
relative energy among the computed polymorphs	0	meV per atom
space-group type	Pm-3m, No. 221

Geometry as POSCAR:
```
RbNi3Ag
1.0
4.865 0.000 0.000
0.000 4.865 0.000
0.000 0.000 4.865
Ni Rb Ag
3 1 1
Cartesian
0.000 2.433 0.000 Ni
0.000 0.000 2.433 Ni
2.433 0.000 0.000 Ni
2.433 2.433 2.433 Rb
0.000 0.000 0.000 Ag
```



RbNi2Ag2 | GGA-PBE | relaxed

Results
E_tot	-3.090	eV per atom
M_tot	0.146	μB per atom
relative energy among the computed polymorphs	81	meV per atom
space-group type	I4/mmm, No. 139

Geometry as POSCAR:
```
RbNi2Ag2
1.0
-3.093 1.599 2.833
1.555 -2.707 3.226
2.546 3.162 4.550
Ni Rb Ag
2 1 2
Cartesian
-0.030 0.274 3.368 Ni
1.038 1.779 7.241 Ni
0.000 0.000 0.000 Rb
-0.658 2.103 5.206 Ag
1.666 -0.050 5.403 Ag
```



Energy of formation: 45.9, 111.7, 53.7 (kJ/mol of atoms)